Entry 1:
Entry from Alexandria: a relaxed CaTmAl6 crystal (PBE).

The total DFT energy (no corrections) comes out at -3.88 eV/atom. The symmetry is Pmm2 (25). The calculated formation energy is -0.27 eV per atom.

```
CaTmAl6
1.0
4.475 0.000 0.000
0.000 5.982 0.000
0.000 0.000 5.999
Al Ca Tm
6 1 1
Direct
0.000 0.142 0.749
0.500 0.863 0.739
0.500 0.245 0.000
0.000 0.745 0.500
0.500 0.863 0.261
0.000 0.142 0.251
0.000 0.612 0.000
0.500 0.389 0.500
```



Entry 2:
Entry from Alexandria: a relaxed CaTm3Al8 crystal (PBE).

The total DFT energy (no corrections) comes out at -4.22 eV/atom. As for the energy above the most stable polymorph in this dataset: 0 meV/atom. The symmetry is R3m (160). The calculated formation energy is -0.44 eV per atom.

```
CaTm3Al8
1.0
-3.332 3.709 -2.408
-0.134 0.430 -5.519
-7.806 -4.803 -2.962
Al Tm Ca
8 3 1
Direct
0.438 0.940 0.184
0.438 0.438 0.184
0.937 0.435 0.691
0.940 0.438 0.184
0.687 0.687 0.938
0.188 0.188 0.437
0.937 0.937 0.691
0.435 0.937 0.691
0.500 0.500 0.501
0.000 0.000 0.001
0.375 0.375 0.875
0.875 0.875 0.374
```



Entry 3:
Entry from Alexandria: a relaxed CaTm2Al9 crystal (PBE).

The total DFT energy (no corrections) comes out at -4.04 eV/atom. The symmetry is R-3m (166). The calculated formation energy is -0.32 eV per atom.

```
CaTm2Al9
1.0
5.341 0.000 1.589
2.434 4.754 1.589
0.125 0.076 9.348
Al Tm Ca
9 2 1
Direct
0.077 0.589 0.745
0.589 0.589 0.745
0.335 0.335 0.994
0.500 0.500 0.500
0.923 0.411 0.255
0.589 0.077 0.745
0.411 0.923 0.255
0.411 0.411 0.255
0.665 0.665 0.006
0.142 0.142 0.573
0.858 0.858 0.427
0.000 0.000 0.000
```



Entry 4:
Entry from Alexandria: a relaxed CaTmAl crystal (PBE).

The total DFT energy (no corrections) comes out at -3.43 eV/atom. As for the energy above the most stable polymorph in this dataset: 137 meV/atom. The symmetry is P3m1 (156). The calculated formation energy is -0.02 eV per atom.

```
CaTmAl
1.0
-2.118 -1.555 -2.287
-3.309 -1.137 3.839
-0.476 4.471 -2.600
Tm Ca Al
1 1 1
Direct
0.387 0.333 0.667
0.960 0.000 0.000
0.653 0.667 0.333
```



Entry 5:
Entry from Alexandria: a relaxed CaTm5Al4 crystal (PBE).

The total DFT energy (no corrections) comes out at -4.23 eV/atom. The symmetry is P4/mmm (123). The calculated formation energy is -0.30 eV per atom.

```
CaTm5Al4
1.0
-1.957 -2.793 0.904
2.914 -1.978 0.200
1.979 4.864 19.312
Al Tm Ca
4 5 1
Direct
0.000 0.000 0.770
0.000 0.000 0.590
0.000 0.000 0.410
0.000 0.000 0.230
0.500 0.500 0.680
0.500 0.500 0.320
0.500 0.500 0.860
0.500 0.500 0.500
0.500 0.500 0.140
0.000 0.000 0.000
```



Entry 6:
Entry from Alexandria: a relaxed CaTm4Al5 crystal (PBE).

The total DFT energy (no corrections) comes out at -4.21 eV/atom. The symmetry is P4/mmm (123). The calculated formation energy is -0.35 eV per atom.

```
CaTm4Al5
1.0
-1.664 3.095 -0.511
0.051 -0.551 -3.508
-16.077 -8.464 1.095
Tm Al Ca
4 5 1
Direct
0.000 0.000 0.403
0.000 0.000 0.794
0.000 0.000 0.597
0.000 0.000 0.206
0.500 0.500 0.304
0.500 0.500 0.696
0.500 0.500 0.891
0.500 0.500 0.500
0.500 0.500 0.109
0.000 0.000 0.000
```



Entry 7:
Entry from Alexandria: a relaxed CaTmAl crystal (PBE).

The total DFT energy (no corrections) comes out at -3.55 eV/atom. As for the energy above the most stable polymorph in this dataset: 15 meV/atom. The symmetry is I4/mmm (139). The calculated formation energy is -0.14 eV per atom.

```
CaTmAl
1.0
3.501 0.000 0.000
0.000 3.501 0.000
-1.751 -1.751 14.205
Ca Al Tm
2 2 2
Direct
0.569 0.569 0.137
0.431 0.431 0.863
0.861 0.861 0.722
0.139 0.139 0.278
0.705 0.705 0.410
0.295 0.295 0.590
```



Entry 8:
Entry from Alexandria: a relaxed CaUAl4 crystal (PBE).

The total DFT energy (no corrections) comes out at -4.82 eV/atom. The symmetry is F-43m (216). The calculated formation energy is -0.11 eV per atom.

```
CaUAl4
1.0
-3.670 -0.059 -4.206
-1.104 -4.774 -2.675
-4.956 -2.484 0.654
Al Ca U
4 1 1
Direct
0.122 0.626 0.626
0.626 0.626 0.626
0.626 0.122 0.626
0.626 0.626 0.122
0.250 0.250 0.250
0.000 0.000 0.000
```



Entry 9:
Entry from Alexandria: a relaxed Ca2AlV2 crystal (PBE).

The total DFT energy (no corrections) comes out at -4.83 eV/atom. As for the energy above the most stable polymorph in this dataset: 0 meV/atom. The symmetry is I4/mmm (139). The calculated formation energy is 0.36 eV per atom.

```
Ca2AlV2
1.0
3.329 0.000 0.000
0.000 3.329 0.000
1.664 1.664 10.458
V Ca Al
2 2 1
Direct
0.750 0.250 0.500
0.250 0.750 0.500
0.392 0.392 0.215
0.608 0.608 0.785
0.000 0.000 0.000
```



Entry 10:
Entry from Alexandria: a relaxed CaAlV3 crystal (PBE).

The total DFT energy (no corrections) comes out at -4.60 eV/atom. As for the energy above the most stable polymorph in this dataset: 938 meV/atom. The symmetry is Pm-3m (221). The calculated formation energy is 2.02 eV per atom.

```
CaAlV3
1.0
4.407 0.000 0.000
0.000 4.407 0.000
0.000 0.000 4.407
V Ca Al
3 1 1
Direct
0.000 0.000 0.500
0.000 0.500 0.000
0.500 0.000 0.000
0.000 0.000 0.000
0.500 0.500 0.500
```



Entry 11:
Entry from Alexandria: a relaxed CaAlV2 crystal (PBE).

The total DFT energy (no corrections) comes out at -5.33 eV/atom. The symmetry is I4_1/amd (141). The calculated formation energy is 0.67 eV per atom.

```
CaAlV2
1.0
4.289 0.000 0.000
0.000 4.289 0.000
2.144 2.144 9.716
V Al Ca
4 2 2
Direct
0.875 0.625 0.750
0.375 0.625 0.250
0.375 0.625 0.750
0.375 0.125 0.250
0.500 0.500 0.000
0.250 0.750 0.500
0.000 0.000 0.000
0.750 0.250 0.500
```



Entry 12:
Entry from Alexandria: a relaxed CaAl2V2 crystal (PBE).

The total DFT energy (no corrections) comes out at -5.38 eV/atom. As for the energy above the most stable polymorph in this dataset: 190 meV/atom. The symmetry is P4/mbm (127). The calculated formation energy is 0.17 eV per atom.

```
CaAl2V2
1.0
-2.362 7.214 0.772
-3.441 -0.400 -6.799
-2.517 -0.967 1.331
V Al Ca
4 4 2
Direct
0.330 0.170 0.500
0.670 0.830 0.500
0.170 0.670 0.500
0.830 0.330 0.500
0.877 0.623 0.000
0.123 0.377 0.000
0.377 0.877 0.000
0.623 0.123 0.000
0.000 0.000 0.000
0.500 0.500 0.000
```